1.
# Dy3Al5O12, optimized geometry, DFT PBEsol
data_Dy3Al5O12
_symmetry_space_group_name_H-M 'I a -3 d'
_symmetry_Int_Tables_number 230
_symmetry_space_group_name_Hall '-I 4bd 2c 3'
_cell_length_a 11.984
_cell_length_b 11.984
_cell_length_c 11.984
_cell_angle_alpha 90.00
_cell_angle_beta 90.00
_cell_angle_gamma 90.00
loop_
_atom_site_label
_atom_site_type_symbol
_atom_site_fract_x
_atom_site_fract_y
_atom_site_fract_z
Dy1 Dy 0.000 0.250 0.125
Al1 Al 0.000 0.000 0.000
Al2 Al 0.000 0.250 0.375
O1 O 0.030 0.052 0.649
# VASP energy: -165.1 eV per formula unit
# D(E_F): 0.00 states/eV per atom
# Formation energy (no corrections): -76.9 kcal/mol of atoms

2.
# Dy3Sc2Al3O12, optimized geometry, DFT PBEsol
data_Dy3Sc2Al3O12
_symmetry_space_group_name_H-M 'I a -3 d'
_symmetry_Int_Tables_number 230
_symmetry_space_group_name_Hall '-I 4bd 2c 3'
_cell_length_a 12.285
_cell_length_b 12.285
_cell_length_c 12.285
_cell_angle_alpha 90.00
_cell_angle_beta 90.00
_cell_angle_gamma 90.00
loop_
_atom_site_label
_atom_site_type_symbol
_atom_site_fract_x
_atom_site_fract_y
_atom_site_fract_z
Dy1 Dy 0.000 0.250 0.125
Sc1 Sc 0.000 0.000 0.000
Al1 Al 0.000 0.250 0.375
O1 O 0.031 0.058 0.657
# VASP energy: -172.4 eV per formula unit
# D(E_F): 0.00 states/eV per atom
# Formation energy (no corrections): -79.6 kcal/mol of atoms

3.
# Dy2Al9Pd3, optimized geometry, DFT PBEsol
data_Dy2Al9Pd3
_symmetry_space_group_name_H-M 'C m c m'
_symmetry_Int_Tables_number 63
_symmetry_space_group_name_Hall '-C 2c 2'
_cell_length_a 13.101
_cell_length_b 7.632
_cell_length_c 9.352
_cell_angle_alpha 90.00
_cell_angle_beta 90.00
_cell_angle_gamma 90.00
loop_
_atom_site_label
_atom_site_type_symbol
_atom_site_fract_x
_atom_site_fract_y
_atom_site_fract_z
Dy1 Dy 0.161 0.169 0.250
Al1 Al 0.000 0.129 0.750
Al2 Al 0.000 0.332 0.056
Al3 Al 0.105 0.443 0.750
Al4 Al 0.168 0.167 0.576
Pd1 Pd 0.000 0.000 0.000
Pd2 Pd 0.172 0.500 0.000
# VASP energy: -74.6 eV per formula unit
# D(E_F): 0.42 states/eV per atom
# Energy of formation: -0.7098 eV per atom

4.
# PmDyAl2, optimized geometry, DFT PBEsol
data_PmDyAl2
_symmetry_space_group_name_H-M 'F m -3 m'
_symmetry_Int_Tables_number 225
_symmetry_space_group_name_Hall '-F 4 2 3'
_cell_length_a 7.199
_cell_length_b 7.199
_cell_length_c 7.199
_cell_angle_alpha 90.00
_cell_angle_beta 90.00
_cell_angle_gamma 90.00
loop_
_atom_site_label
_atom_site_type_symbol
_atom_site_fract_x
_atom_site_fract_y
_atom_site_fract_z
Pm1 Pm 0.000 0.000 0.000
Dy1 Dy 0.000 0.000 0.500
Al1 Al 0.250 0.250 0.250
# VASP energy: -19.8 eV per formula unit
# D(E_F): 0.32 states/eV per atom
# Energy of formation: -0.3841 eV per atom